NaNb2W | PBE-GGA | optimized geometry

Summary:
crystal system = cubic
DFT total energy = -31.6 eV/f.u.
total magnetic moment = 0.0 μB per cell

The structure in CIF format:
```
data_NaNb2W
_chemical_formula_sum 'Na4 Nb8 W4'
_space_group_name_H-M_alt 'F m -3 m'
_space_group_IT_number 225
_space_group_name_Hall '-F 4 2 3'
_cell_length_a 6.6095
_cell_length_b 6.6095
_cell_length_c 6.6095
_cell_angle_alpha 90.00
_cell_angle_beta 90.00
_cell_angle_gamma 90.00
loop_
_atom_site_label
_atom_site_fract_x
_atom_site_fract_y
_atom_site_fract_z
_atom_site_occupancy
Na1 0.0000 0.0000 0.0000 1
Nb1 0.2500 0.2500 0.2500 1
W1 0.0000 0.0000 0.5000 1
```